Computed, not measured: a crystal of LaYNi2 relaxed with PBEsol at the SCAN level of DFT.

- calculated volume (Å³ per atom) = 19.66
- mass density (Mg/m³) = 7.29
- DFT formation energy (eV/f.u.) = -1.08
- electronic total energy (eV/atom) = -26.09

abc: 4.820 4.820 3.386
angles: 90.00 90.00 90.00
Positions (direct):
La (0.000, 0.000, 0.000)
Y (0.500, 0.500, 0.000)
Ni (0.000, 0.500, 0.500)
Ni (0.500, 0.000, 0.500)